No. 1
Material: CaO2
Method: DFT, PBE-GGA
State: optimized geometry

Geometry as POSCAR:
```
CaO2
1.0
-1.6446 1.6446 3.5318
1.6446 -1.6446 3.5318
1.6446 1.6446 -3.5318
Ca O
1 2
direct
0.0000 0.0000 0.0000
0.3924 0.3924 0.0000
0.6076 0.6076 0.0000
```

**Formation energy from raw total energies**: -1881.6 meV/atom
**Calculated density**: 3.1 g/cm3
**Symmetry**: I4/mmm, No. 139
**Total energy**: -17.56 eV/cell
**Total magnetization**: 0.00 μB/atom


No. 2
Material: CaO8
Method: DFT, PBE-GGA
State: optimized geometry

Geometry as POSCAR:
```
CaO8
1.0
-3.8155 3.8155 2.2905
3.8155 -3.8155 2.2905
3.8155 3.8155 -2.2905
Ca O
1 8
direct
0.0000 0.0000 0.0000
0.0000 0.4188 0.4188
0.0000 0.5812 0.5812
0.3870 0.3870 0.7739
0.3870 0.6130 0.0000
0.4188 0.0000 0.4188
0.5812 0.0000 0.5812
0.6130 0.3870 0.0000
0.6130 0.6130 0.2261
```

**Formation energy from raw total energies**: 35.3 meV/atom
**Calculated density**: 2.1 g/cm3
**Symmetry**: I4/mmm, No. 139
**Total energy**: -41.35 eV/cell
**Total magnetization**: 0.63 μB/atom


No. 3
Material: CaO2
Method: DFT, PBE-GGA
State: optimized geometry

Geometry as POSCAR:
```
CaO2
1.0
3.6834 0.0000 0.0000
-1.8417 3.1899 0.0000
0.0000 0.0000 3.5422
Ca O
1 2
direct
0.0000 0.0000 0.0000
0.3333 0.6667 0.2859
0.6667 0.3333 0.7141
```

**Formation energy from raw total energies**: -1247.5 meV/atom
**Calculated density**: 2.9 g/cm3
**Symmetry**: P-3m1, No. 164
**Total energy**: -15.66 eV/cell
**Total magnetization**: 0.67 μB/atom


No. 4
Material: CaO2
Method: DFT, PBE-GGA
State: optimized geometry

Geometry as POSCAR:
```
CaO2
1.0
3.4953 -1.8135 0.0000
3.4953 1.8135 0.0000
-1.6145 0.0000 3.3268
Ca O
1 2
direct
0.0000 0.0000 0.0000
0.2510 0.2510 0.7012
0.7490 0.7490 0.2988
```

**Formation energy from raw total energies**: -1459.3 meV/atom
**Calculated density**: 2.8 g/cm3
**Symmetry**: C2/m, No. 12
**Total energy**: -16.30 eV/cell
**Total magnetization**: 0.67 μB/atom


No. 5
Material: Ca4O
Method: DFT, PBE-GGA
State: optimized geometry

Geometry as POSCAR:
```
Ca4O
1.0
5.1940 0.0000 0.0000
0.0000 5.1940 0.0000
0.0000 0.0000 5.1940
Ca O
4 1
direct
0.0000 0.0000 0.0000
0.0000 0.5000 0.5000
0.5000 0.0000 0.5000
0.5000 0.5000 0.0000
0.5000 0.5000 0.5000
```

**Formation energy from raw total energies**: -957.9 meV/atom
**Calculated density**: 2.1 g/cm3
**Symmetry**: Pm-3m, No. 221
**Total energy**: -17.75 eV/cell
**Total magnetization**: 0.00 μB/atom


No. 6
Material: CaO5
Method: DFT, PBE-GGA
State: optimized geometry

Geometry as POSCAR:
```
CaO5
1.0
3.9721 -1.8416 0.0000
3.9721 1.8416 0.0000
-0.7758 0.0000 6.3283
Ca O
1 5
direct
0.0000 0.0000 0.0000
0.3024 0.3024 0.0121
0.3292 0.3292 0.7827
0.5076 0.5076 0.7774
0.6157 0.6157 0.2987
0.7658 0.7658 0.3903
```

**Formation energy from raw total energies**: -793.6 meV/atom
**Calculated density**: 2.2 g/cm3
**Symmetry**: Cm, No. 8
**Total energy**: -31.55 eV/cell
**Total magnetization**: 0.34 μB/atom


No. 7
Material: Ca6Os3O14
Method: DFT, PBE-GGA
State: optimized geometry

Geometry as POSCAR:
```
Ca6Os3O14
1.0
8.3231 0.0000 0.0000
-4.1616 7.2081 0.0000
0.0000 0.0000 5.3707
Ca Os O
6 3 14
direct
0.0045 0.4556 0.0000
0.2901 0.1976 0.4610
0.4511 0.9955 0.0000
0.5444 0.5489 0.0000
0.8024 0.0925 0.4610
0.9075 0.7099 0.4610
0.0000 0.0000 0.0046
0.3333 0.6667 0.5463
0.6667 0.3333 0.6221
0.0000 0.0000 0.6648
0.0750 0.2204 0.1835
0.1454 0.9250 0.1835
0.2037 0.7609 0.7049
0.2391 0.4428 0.7049
0.3333 0.6667 0.2079
0.4414 0.2455 0.8392
0.5297 0.1075 0.4074
0.5572 0.7963 0.7049
0.5778 0.4703 0.4074
0.7545 0.1959 0.8392
0.7796 0.8546 0.1835
0.8041 0.5586 0.8392
0.8925 0.4222 0.4074
```

**Formation energy from raw total energies**: -1983.8 meV/atom
**Calculated density**: 5.3 g/cm3
**Symmetry**: P3, No. 143
**Total energy**: -160.74 eV/cell
**Total magnetization**: 0.26 μB/atom


No. 8
Material: CaOs4O12
Method: DFT, PBE-GGA
State: optimized geometry

Geometry as POSCAR:
```
CaOs4O12
1.0
-3.8185 3.8185 3.8185
3.8185 -3.8185 3.8185
3.8185 3.8185 -3.8185
Ca Os O
1 4 12
direct
0.0000 0.0000 0.0000
0.0000 0.0000 0.5000
0.0000 0.5000 0.0000
0.5000 0.0000 0.0000
0.5000 0.5000 0.5000
0.0000 0.2453 0.7547
0.0000 0.7547 0.2453
0.2453 0.0000 0.7547
0.2453 0.2453 0.4907
0.2453 0.4907 0.2453
0.2453 0.7547 0.0000
0.4907 0.2453 0.2453
0.5093 0.7547 0.7547
0.7547 0.0000 0.2453
0.7547 0.2453 0.0000
0.7547 0.5093 0.7547
0.7547 0.7547 0.5093
```

**Formation energy from raw total energies**: -1176.7 meV/atom
**Calculated density**: 7.4 g/cm3
**Symmetry**: Im-3m, No. 229
**Total energy**: -126.42 eV/cell
**Total magnetization**: 0.00 μB/atom